# NaRuPb2 PBE optimized geometry
data_NaRuPb2
_symmetry_space_group_name_H-M 'P 1'
_symmetry_Int_Tables_number 1
_symmetry_space_group_name_Hall 'P 1'
_cell_length_a 4.9316
_cell_length_b 4.9316
_cell_length_c 4.9316
_cell_angle_alpha 60.00
_cell_angle_beta 60.00
_cell_angle_gamma 60.00
loop_
_atom_site_label
_atom_site_fract_x
_atom_site_fract_y
_atom_site_fract_z
Na1 0.0000 0.0000 0.0000
Ru1 0.5000 0.5000 0.5000
Pb1 0.2500 0.2500 0.2500
Pb2 0.7500 0.7500 0.7500
# DOS(E_F) in states/eV per cell: 2.1
# E_tot in eV/cell: -16.888
# Space group: Fm-3m
# Volume in Å³/atom: 21.20
# Formation energy from the elements in eV/f.u.: 1.12

***

# Ca2LaSi PBE optimized geometry
data_Ca2LaSi
_symmetry_space_group_name_H-M 'P 1'
_symmetry_Int_Tables_number 1
_symmetry_space_group_name_Hall 'P 1'
_cell_length_a 6.3693
_cell_length_b 6.3693
_cell_length_c 6.3693
_cell_angle_alpha 136.98
_cell_angle_beta 136.98
_cell_angle_gamma 62.47
loop_
_atom_site_label
_atom_site_fract_x
_atom_site_fract_y
_atom_site_fract_z
Ca1 0.2500 0.7500 0.5000
Ca2 0.7500 0.2500 0.5000
La1 0.0000 0.0000 0.0000
Si1 0.5000 0.5000 0.0000
# DOS(E_F) in states/eV per cell: 3.4
# E_tot in eV/cell: -14.670
# Space group: I4/mmm
# Volume in Å³/atom: 29.71
# Energy relative to the elements, uncorrected in kJ per mole of atoms: -8

***

# Ga2Ag2Au3 PBE optimized geometry
data_Ga2Ag2Au3
_symmetry_space_group_name_H-M 'P 1'
_symmetry_Int_Tables_number 1
_symmetry_space_group_name_Hall 'P 1'
_cell_length_a 5.2410
_cell_length_b 5.2410
_cell_length_c 6.5554
_cell_angle_alpha 102.54
_cell_angle_beta 102.54
_cell_angle_gamma 46.04
loop_
_atom_site_label
_atom_site_fract_x
_atom_site_fract_y
_atom_site_fract_z
Ga1 0.1893 0.1893 0.1729
Ga2 0.8107 0.8107 0.8271
Ag1 0.0940 0.0940 0.7322
Ag2 0.9060 0.9060 0.2678
Au1 0.3638 0.3638 0.5639
Au2 0.5000 0.5000 0.0000
Au3 0.6362 0.6362 0.4361
# DOS(E_F) in states/eV per cell: 2.3
# E_tot in eV/cell: -22.184
# Space group: C2/m
# Offset from the most stable computed form in meV per atom: 26
# Volume in Å³/atom: 17.99
# Formation energy from the elements in eV/f.u.: -0.60

***

# Co2HgPt PBE optimized geometry
data_Co2HgPt
_symmetry_space_group_name_H-M 'P 1'
_symmetry_Int_Tables_number 1
_symmetry_space_group_name_Hall 'P 1'
_cell_length_a 4.3960
_cell_length_b 4.3960
_cell_length_c 4.3960
_cell_angle_alpha 60.00
_cell_angle_beta 60.00
_cell_angle_gamma 60.00
loop_
_atom_site_label
_atom_site_fract_x
_atom_site_fract_y
_atom_site_fract_z
Co1 0.0000 0.0000 0.0000
Co2 0.2500 0.2500 0.2500
Hg1 0.7500 0.7500 0.7500
Pt1 0.5000 0.5000 0.5000
# DOS(E_F) in states/eV per cell: 6.7
# E_tot in eV/cell: -19.160
# Space group: F-43m
# Volume in Å³/atom: 15.02
# Formation energy from the elements in eV/f.u.: 1.39

***

# RbVC3 PBE optimized geometry
data_RbVC3
_symmetry_space_group_name_H-M 'P 1'
_symmetry_Int_Tables_number 1
_symmetry_space_group_name_Hall 'P 1'
_cell_length_a 4.0991
_cell_length_b 4.0991
_cell_length_c 4.0991
_cell_angle_alpha 90.00
_cell_angle_beta 90.00
_cell_angle_gamma 90.00
loop_
_atom_site_label
_atom_site_fract_x
_atom_site_fract_y
_atom_site_fract_z
Rb1 0.0000 0.0000 0.0000
V1 0.5000 0.5000 0.5000
C1 0.0000 0.5000 0.5000
C2 0.5000 0.0000 0.5000
C3 0.5000 0.5000 0.0000
# DOS(E_F) in states/eV per cell: 2.2
# E_tot in eV/cell: -29.702
# Space group: Pm-3m
# Offset from the most stable computed form in meV per atom: 0
# Volume in Å³/atom: 13.78
# Formation energy from the elements in eV/f.u.: 8.06

***

# TcRuBr4 PBE optimized geometry
data_TcRuBr4
_symmetry_space_group_name_H-M 'P 1'
_symmetry_Int_Tables_number 1
_symmetry_space_group_name_Hall 'P 1'
_cell_length_a 6.1089
_cell_length_b 6.1089
_cell_length_c 6.1089
_cell_angle_alpha 60.00
_cell_angle_beta 60.00
_cell_angle_gamma 60.00
loop_
_atom_site_label
_atom_site_fract_x
_atom_site_fract_y
_atom_site_fract_z
Tc1 0.0000 0.0000 0.0000
Ru1 0.2500 0.2500 0.2500
Br1 0.1268 0.6244 0.6244
Br2 0.6244 0.1268 0.6244
Br3 0.6244 0.6244 0.1268
Br4 0.6244 0.6244 0.6244
# DOS(E_F) in states/eV per cell: 12.9
# E_tot in eV/cell: -15.966
# Space group: F-43m
# Volume in Å³/atom: 26.87
# Energy relative to the elements, uncorrected in kJ per mole of atoms: 167

***

# NaLa2Sc PBE optimized geometry
data_NaLa2Sc
_symmetry_space_group_name_H-M 'P 1'
_symmetry_Int_Tables_number 1
_symmetry_space_group_name_Hall 'P 1'
_cell_length_a 5.9292
_cell_length_b 5.9292
_cell_length_c 3.7033
_cell_angle_alpha 90.00
_cell_angle_beta 90.00
_cell_angle_gamma 90.00
loop_
_atom_site_label
_atom_site_fract_x
_atom_site_fract_y
_atom_site_fract_z
Na1 0.0000 0.0000 0.0000
La1 0.0000 0.5000 0.5000
La2 0.5000 0.0000 0.5000
Sc1 0.5000 0.5000 0.0000
# DOS(E_F) in states/eV per cell: 4.8
# E_tot in eV/cell: -16.719
# Space group: P4/mmm
# Offset from the most stable computed form in meV per atom: 58
# Volume in Å³/atom: 32.55
# Formation energy from the elements in eV/f.u.: 0.79

***

# TiZnRh PBE optimized geometry
data_TiZnRh
_symmetry_space_group_name_H-M 'P 1'
_symmetry_Int_Tables_number 1
_symmetry_space_group_name_Hall 'P 1'
_cell_length_a 7.6742
_cell_length_b 6.7187
_cell_length_c 6.5442
_cell_angle_alpha 70.69
_cell_angle_beta 55.72
_cell_angle_gamma 53.59
loop_
_atom_site_label
_atom_site_fract_x
_atom_site_fract_y
_atom_site_fract_z
Ti1 0.0131 0.0131 0.7369
Ti2 0.2631 0.2631 0.9869
Ti3 0.7369 0.7369 0.0131
Ti4 0.9869 0.9869 0.2631
Zn1 0.0000 0.5000 0.5000
Zn2 0.5000 0.0000 0.5000
Zn3 0.5000 0.5000 0.0000
Zn4 0.5000 0.5000 0.5000
Rh1 0.0644 0.6856 0.0644
Rh2 0.3144 0.9356 0.3144
Rh3 0.6856 0.0644 0.6856
Rh4 0.9356 0.3144 0.9356
# DOS(E_F) in states/eV per cell: 10.6
# E_tot in eV/cell: -67.937
# Space group: Fddd
# Volume in Å³/atom: 18.70
# Formation energy from the elements in eV/f.u.: -0.46

***

# ErVTc PBE optimized geometry
data_ErVTc
_symmetry_space_group_name_H-M 'P 1'
_symmetry_Int_Tables_number 1
_symmetry_space_group_name_Hall 'P 1'
_cell_length_a 4.3898
_cell_length_b 4.3898
_cell_length_c 3.2325
_cell_angle_alpha 90.00
_cell_angle_beta 90.00
_cell_angle_gamma 120.00
loop_
_atom_site_label
_atom_site_fract_x
_atom_site_fract_y
_atom_site_fract_z
Er1 0.0000 0.0000 0.0000
V1 0.6667 0.3333 0.4139
Tc1 0.3333 0.6667 0.6199
# DOS(E_F) in states/eV per cell: 2.8
# E_tot in eV/cell: -23.589
# Space group: P3m1
# Offset from the most stable computed form in meV per atom: 177
# Volume in Å³/atom: 17.98
# Formation energy from the elements in eV/f.u.: 0.46

***

# CaMnS2Cl PBE optimized geometry
data_CaMnS2Cl
_symmetry_space_group_name_H-M 'P 1'
_symmetry_Int_Tables_number 1
_symmetry_space_group_name_Hall 'P 1'
_cell_length_a 5.2520
_cell_length_b 5.2520
_cell_length_c 5.0860
_cell_angle_alpha 90.00
_cell_angle_beta 90.00
_cell_angle_gamma 90.00
loop_
_atom_site_label
_atom_site_fract_x
_atom_site_fract_y
_atom_site_fract_z
Ca1 0.0000 0.0000 0.0000
Mn1 0.5000 0.5000 0.5000
S1 0.0000 0.5000 0.0000
S2 0.5000 0.0000 0.0000
Cl1 0.0000 0.0000 0.5000
# DOS(E_F) in states/eV per cell: 4.2
# E_tot in eV/cell: -22.149
# Space group: P4/mmm
# Offset from the most stable computed form in meV per atom: 871
# Volume in Å³/atom: 28.06
# Energy relative to the elements, uncorrected in kJ per mole of atoms: -17

***

# KIn2SI PBE optimized geometry
data_KIn2SI
_symmetry_space_group_name_H-M 'P 1'
_symmetry_Int_Tables_number 1
_symmetry_space_group_name_Hall 'P 1'
_cell_length_a 5.6481
_cell_length_b 5.6481
_cell_length_c 5.9295
_cell_angle_alpha 90.00
_cell_angle_beta 90.00
_cell_angle_gamma 90.00
loop_
_atom_site_label
_atom_site_fract_x
_atom_site_fract_y
_atom_site_fract_z
K1 0.0000 0.0000 0.0000
In1 0.0000 0.5000 0.5000
In2 0.5000 0.0000 0.5000
S1 0.5000 0.5000 0.5000
I1 0.5000 0.5000 0.0000
# DOS(E_F) in states/eV per cell: 2.6
# E_tot in eV/cell: -12.847
# Space group: P4/mmm
# Offset from the most stable computed form in meV per atom: 0
# Volume in Å³/atom: 37.83
# Energy relative to the elements, uncorrected in kJ per mole of atoms: -11

***

# CeHo4Er6 PBE optimized geometry
data_CeHo4Er6
_symmetry_space_group_name_H-M 'P 1'
_symmetry_Int_Tables_number 1
_symmetry_space_group_name_Hall 'P 1'
_cell_length_a 8.4031
_cell_length_b 8.4031
_cell_length_c 8.4031
_cell_angle_alpha 126.11
_cell_angle_beta 126.11
_cell_angle_gamma 79.70
loop_
_atom_site_label
_atom_site_fract_x
_atom_site_fract_y
_atom_site_fract_z
Ce1 0.0000 0.0000 0.0000
Ho1 0.2576 0.2576 0.6671
Ho2 0.4094 0.7424 0.0000
Ho3 0.5906 0.5906 0.3329
Ho4 0.7424 0.4094 0.0000
Er1 0.0000 0.5000 0.5000
Er2 0.0628 0.5696 0.0000
Er3 0.4304 0.4304 0.4932
Er4 0.5000 0.0000 0.5000
Er5 0.5696 0.0628 0.0000
Er6 0.9372 0.9372 0.5068
# DOS(E_F) in states/eV per cell: 21.2
# E_tot in eV/cell: -46.215
# Space group: I-42m
# Offset from the most stable computed form in meV per atom: 347
# Volume in Å³/atom: 34.01
# Formation energy from the elements in eV/f.u.: 5.41